Compound: LiVCrO4
Source: Alexandria
Functional: PBE with a Hubbard U
Structure: relaxed

Summary:
The energy above the most stable polymorph in this dataset comes out at 88.1 meV per atom.

The structure in CIF format:
```
data_LiVCrO4
_chemical_formula_sum 'Li4 V4 Cr4 O16'
_cell_length_a 5.9712
_cell_length_b 6.0556
_cell_length_c 8.1488
_cell_angle_alpha 90.00
_cell_angle_beta 90.00
_cell_angle_gamma 90.00
_symmetry_space_group_name_H-M 'I m m a'
_symmetry_Int_Tables_number 74
_symmetry_space_group_name_Hall '-I 2b 2'
loop_
_atom_site_label
_atom_site_type_symbol
_atom_site_fract_x
_atom_site_fract_y
_atom_site_fract_z
Li1 Li 0.2500 0.2500 0.2500
V1 V 0.2500 0.2500 0.7500
Cr1 Cr 0.0000 0.0000 0.0000
O1 O 0.0000 0.0232 0.7552
O2 O 0.2221 0.2500 0.9836
```